No. 1
Below is an optimized crystal structure of CaFeBiO5, with properties calculated at the GGA+U level.

Output
**Crystal system**: monoclinic
**Energy**: -6.12 eV per atom

Unit cell a=5.9048 b=8.8990 c=10.5384 alpha=90.00 beta=90.00 gamma=112.51
Last column: nearest neighbours and their distance in Å.
Fractional coordinates of all 32 atoms:
Ca (0.1483, 0.6752, 0.6003)  4 O 2.24-2.41
Ca (0.6483, 0.1752, 0.8997)  4 O 2.24-2.41
Ca (0.8517, 0.3248, 0.3997)  4 O 2.24-2.41
Ca (0.3517, 0.8248, 0.1003)  4 O 2.24-2.41
Bi (0.3591, 0.3435, 0.5983)  6 O 2.09-2.21
Bi (0.1409, 0.1565, 0.0983)  6 O 2.09-2.21
Bi (0.8591, 0.8435, 0.9017)  6 O 2.09-2.21
Bi (0.6409, 0.6565, 0.4017)  6 O 2.09-2.21
O (0.0162, 0.1862, 0.2788)  1 Fe 1.99, 1 Bi 2.09
O (0.0393, 0.3122, 0.9765)  1 Fe 1.92, 1 Bi 2.14
O (0.5162, 0.6862, 0.2212)  1 Fe 1.99, 1 Bi 2.09
O (0.7308, 0.5128, 0.5441)  2 Bi 2.17-2.21, 1 Ca 2.41
O (0.4838, 0.3138, 0.7788)  1 Fe 1.99, 1 Bi 2.09
O (0.7929, 0.5241, 0.2789)  1 Fe 1.94, 1 Bi 2.16
O (0.9838, 0.8138, 0.7212)  1 Fe 1.99, 1 Bi 2.09
O (0.2308, 0.0128, 0.9559)  2 Bi 2.17-2.21, 1 Ca 2.41
O (0.4947, 0.3471, 0.0444)  1 Fe 1.95
O (0.4607, 0.1878, 0.4765)  1 Fe 1.92, 1 Bi 2.14
O (0.2071, 0.4759, 0.7211)  1 Fe 1.94, 1 Bi 2.16
O (0.5053, 0.6529, 0.9556)  1 Fe 1.95
O (0.7692, 0.9872, 0.0441)  2 Bi 2.17-2.21, 1 Ca 2.41
O (0.9947, 0.8471, 0.4556)  1 Fe 1.95
O (0.2929, 0.0241, 0.2211)  1 Fe 1.94, 1 Bi 2.16
O (0.0053, 0.1529, 0.5444)  1 Fe 1.95
O (0.9607, 0.6878, 0.0235)  1 Fe 1.92, 1 Bi 2.14
O (0.5393, 0.8122, 0.5235)  1 Fe 1.92, 1 Bi 2.14
O (0.7071, 0.9759, 0.7789)  1 Fe 1.94, 1 Bi 2.16
O (0.2692, 0.4872, 0.4559)  2 Bi 2.17-2.21, 1 Ca 2.41
Fe (0.6686, 0.5631, 0.1167)  4 O 1.92-1.99
Fe (0.3314, 0.4369, 0.8833)  4 O 1.92-1.99
Fe (0.8314, 0.9369, 0.6167)  4 O 1.92-1.99
Fe (0.1686, 0.0631, 0.3833)  4 O 1.92-1.99

No. 2
Below is an optimized crystal structure of NpCrFeO6, with properties calculated at the GGA+U level.

Output
**Crystal system**: trigonal
**Energy**: -8.27 eV per atom

Unit cell a=5.2366 b=5.2366 c=8.8607 alpha=90.00 beta=90.00 gamma=120.00
Last column: nearest neighbours and their distance in Å.
Fractional coordinates of all 18 atoms:
O (0.3284, 0.9962, 0.1275)  1 Fe 2.05, 1 Cr 2.07, 1 Np 2.08
O (0.0038, 0.6716, 0.3725)  1 Fe 2.05, 1 Cr 2.07, 1 Np 2.08
O (0.3322, 0.0038, 0.6275)  1 Fe 2.05, 1 Cr 2.07, 1 Np 2.08
O (0.9962, 0.3284, 0.6275)  1 Fe 2.05, 1 Cr 2.07, 1 Np 2.08
O (0.6716, 0.0038, 0.8725)  1 Fe 2.05, 1 Cr 2.07, 1 Np 2.08
O (0.6716, 0.6678, 0.6275)  1 Fe 2.05, 1 Cr 2.07, 1 Np 2.08
O (0.9962, 0.6678, 0.8725)  1 Fe 2.05, 1 Cr 2.07, 1 Np 2.08
O (0.3322, 0.3284, 0.8725)  1 Fe 2.05, 1 Cr 2.07, 1 Np 2.08
O (0.3284, 0.3322, 0.3725)  1 Fe 2.05, 1 Cr 2.07, 1 Np 2.08
O (0.0038, 0.3322, 0.1275)  1 Fe 2.05, 1 Cr 2.07, 1 Np 2.08
O (0.6678, 0.6716, 0.1275)  1 Fe 2.05, 1 Cr 2.07, 1 Np 2.08
O (0.6678, 0.9962, 0.3725)  1 Fe 2.05, 1 Cr 2.07, 1 Np 2.08
Fe (0.6667, 0.3333, 0.7500)  6 O 2.05
Fe (0.3333, 0.6667, 0.2500)  6 O 2.05
Cr (0.0000, 0.0000, 0.0000)  6 O 2.07
Cr (0.0000, 0.0000, 0.5000)  6 O 2.07
Np (0.6667, 0.3333, 0.2500)  6 O 2.08
Np (0.3333, 0.6667, 0.7500)  6 O 2.08